# 1
The following is a GGA-PBE calculation of Pr5Ho4Tm2 after structural relaxation, from Alexandria via LeMat-Bulk.

a = 12.8139 Å, b = 12.8139 Å, c = 12.8139 Å
α = 164.16°, β = 138.09°, γ = 45.07°
Atoms (fractional coordinates):
Pr  0.0000  0.0000  0.0000
Pr  0.0545  0.3528  0.7017
Pr  0.3488  0.6472  0.7017
Pr  0.6512  0.3528  0.2983
Pr  0.9455  0.6472  0.2983
Ho  0.3142  0.5000  0.8142
Ho  0.4034  0.9034  0.5000
Ho  0.5966  0.0966  0.5000
Ho  0.6858  0.5000  0.1858
Tm  0.2701  0.7701  0.5000
Tm  0.7299  0.2299  0.5000

Summary:
* energy of formation from the pure elements: 200 meV/atom
* symmetry: Immm, No. 71
* magnetization: 0.0 Bohr magnetons per cell
* N(E_F): 1.667 states/eV per atom


# 2
The following is a GGA-PBE calculation of Pm4P2Br after structural relaxation, from Alexandria via LeMat-Bulk.

a = 14.0917 Å, b = 14.0917 Å, c = 14.0917 Å
α = 16.63°, β = 16.63°, γ = 16.63°
Atoms (fractional coordinates):
Pm  0.1264  0.1264  0.1264
Pm  0.2807  0.2807  0.2807
Pm  0.7193  0.7193  0.7193
Pm  0.8736  0.8736  0.8736
P  0.4216  0.4216  0.4216
P  0.5784  0.5784  0.5784
Br  0.0000  0.0000  0.0000

Summary:
* symmetry: R-3m, No. 166
* magnetization: 0.5 Bohr magnetons per cell
* E_form (uncorrected): -1.27 eV/atom
* N(E_F): 0.677 states/eV per atom


# 3
The following is a GGA-PBE calculation of RbScHg2F8 after structural relaxation, from Alexandria via LeMat-Bulk.

a = 5.1122 Å, b = 5.4303 Å, c = 7.7126 Å
α = 85.32°, β = 88.03°, γ = 88.79°
Atoms (fractional coordinates):
Rb  0.0000  0.0000  0.0000
Sc  0.0000  0.0000  0.5000
Hg  0.4694  0.4734  0.2492
Hg  0.5306  0.5266  0.7508
F  0.1568  0.7807  0.6980
F  0.1625  0.7903  0.3199
F  0.3138  0.2452  0.4794
F  0.4364  0.2703  0.9727
F  0.5636  0.7297  0.0273
F  0.6862  0.7548  0.5206
F  0.8375  0.2097  0.6801
F  0.8432  0.2193  0.3020

Summary:
* symmetry: P-1, No. 2
* magnetization: 0.0 Bohr magnetons per cell
* E_form (uncorrected): -2.48 eV/atom
* N(E_F): 0.000 states/eV per atom


# 4
The following is a GGA-PBE calculation of Ba2Sr3Li2Tl4 after structural relaxation, from Alexandria via LeMat-Bulk.

a = 5.5367 Å, b = 5.5367 Å, c = 15.3706 Å
α = 90.00°, β = 90.00°, γ = 120.00°
Atoms (fractional coordinates):
Ba  0.3333  0.6667  0.0808
Ba  0.6667  0.3333  0.9192
Sr  0.0000  0.0000  0.2523
Sr  0.0000  0.0000  0.5000
Sr  0.0000  0.0000  0.7477
Li  0.3333  0.6667  0.6336
Li  0.6667  0.3333  0.3664
Tl  0.3333  0.6667  0.3663
Tl  0.3333  0.6667  0.8249
Tl  0.6667  0.3333  0.1751
Tl  0.6667  0.3333  0.6337

Summary:
* energy of formation from the pure elements: -228 meV/atom
* symmetry: P-3m1, No. 164
* magnetization: 0.0 Bohr magnetons per cell
* N(E_F): 0.780 states/eV per atom